[1]
Density functional theory data (PBE-GGA) for an optimized crystal structure of AcLaPmSi. Values from VASP.

```
&SYSTEM
  ibrav = 0, nat = 4, ntyp = 4
/
ATOMIC_SPECIES
Ac 227.00 Ac.upf
La 138.91 La.upf
Pm 145.00 Pm.upf
Si 28.09 Si.upf
ATOMIC_POSITIONS crystal
Ac 0.000 0.000 0.000
La 0.250 0.250 0.250
Pm 0.750 0.750 0.750
Si 0.500 0.500 0.500
CELL_PARAMETERS angstrom
0.000 3.911 3.911
3.911 0.000 3.911
3.911 3.911 0.000
```

* crystal system: cubic
* formation energy (no corrections): 0.045 eV/atom

=====

[2]
Density functional theory data (PBE-GGA) for an optimized crystal structure of AcLa2Pm2Sm. Values from VASP.

```
&SYSTEM
  ibrav = 0, nat = 12, ntyp = 4
/
ATOMIC_SPECIES
Ac 227.00 Ac.upf
La 138.91 La.upf
Pm 145.00 Pm.upf
Sm 150.36 Sm.upf
ATOMIC_POSITIONS crystal
Ac 0.000 0.000 0.000
Ac 0.000 0.000 0.500
La 0.000 0.335 0.249
La 0.000 0.665 0.749
La 0.500 0.499 0.500
La 0.500 0.501 0.000
Pm 0.000 0.335 0.750
Pm 0.000 0.665 0.250
Pm 0.500 0.170 0.250
Pm 0.500 0.830 0.750
Sm 0.500 0.168 0.750
Sm 0.500 0.832 0.250
CELL_PARAMETERS angstrom
5.881 0.000 0.000
0.000 10.187 0.000
0.000 0.000 7.355
```

* crystal system: orthorhombic
* DFT formation energy: 0.0470 eV per atom

=====

[3]
Density functional theory data (PBE-GGA) for an optimized crystal structure of AcLaPm2Sm2. Values from VASP.

```
&SYSTEM
  ibrav = 0, nat = 12, ntyp = 4
/
ATOMIC_SPECIES
Ac 227.00 Ac.upf
La 138.91 La.upf
Pm 145.00 Pm.upf
Sm 150.36 Sm.upf
ATOMIC_POSITIONS crystal
Ac 0.000 0.000 0.000
Ac 0.500 0.000 0.000
La 0.250 0.500 0.174
La 0.750 0.500 0.826
Pm 0.250 0.000 0.336
Pm 0.250 0.500 0.831
Pm 0.750 0.000 0.664
Pm 0.750 0.500 0.169
Sm 0.000 0.500 0.500
Sm 0.250 0.000 0.661
Sm 0.500 0.500 0.500
Sm 0.750 0.000 0.339
CELL_PARAMETERS angstrom
7.318 0.000 0.000
0.000 5.856 0.000
0.000 0.000 10.114
```

* crystal system: orthorhombic
* DFT formation energy: 0.0562 eV per atom

=====

[4]
Density functional theory data (PBE-GGA) for an optimized crystal structure of Ac2La3PmSm6. Values from VASP.

```
&SYSTEM
  ibrav = 0, nat = 12, ntyp = 4
/
ATOMIC_SPECIES
Ac 227.00 Ac.upf
La 138.91 La.upf
Pm 145.00 Pm.upf
Sm 150.36 Sm.upf
ATOMIC_POSITIONS crystal
Ac 0.167 0.833 0.000
Ac 0.833 0.167 0.000
La 0.000 0.000 0.500
La 0.334 0.666 0.500
La 0.666 0.334 0.500
Pm 0.500 0.500 0.000
Sm 0.086 0.416 0.747
Sm 0.253 0.253 0.253
Sm 0.416 0.086 0.747
Sm 0.584 0.914 0.253
Sm 0.747 0.747 0.747
Sm 0.914 0.584 0.253
CELL_PARAMETERS angstrom
3.237 -5.611 0.000
3.237 5.611 0.000
-2.158 0.000 12.001
```

* crystal system: monoclinic
* DFT formation energy: 0.0225 eV per atom

=====

[5]
Density functional theory data (PBE-GGA) for an optimized crystal structure of AcLaPmSm2. Values from VASP.

```
&SYSTEM
  ibrav = 0, nat = 10, ntyp = 4
/
ATOMIC_SPECIES
Ac 227.00 Ac.upf
La 138.91 La.upf
Pm 145.00 Pm.upf
Sm 150.36 Sm.upf
ATOMIC_POSITIONS crystal
Ac 0.065 0.250 0.298
Ac 0.935 0.750 0.702
La 0.336 0.750 0.503
La 0.664 0.250 0.497
Pm 0.138 0.750 0.097
Pm 0.862 0.250 0.903
Sm 0.276 0.250 0.709
Sm 0.464 0.250 0.096
Sm 0.536 0.750 0.904
Sm 0.724 0.750 0.291
CELL_PARAMETERS angstrom
6.556 0.000 0.000
0.000 6.003 0.000
-3.251 0.000 9.435
```

* crystal system: monoclinic
* DFT formation energy: 0.0438 eV per atom

=====

[6]
Density functional theory data (PBE-GGA) for an optimized crystal structure of Ac6La3PmSm2. Values from VASP.

```
&SYSTEM
  ibrav = 0, nat = 12, ntyp = 4
/
ATOMIC_SPECIES
Ac 227.00 Ac.upf
La 138.91 La.upf
Pm 145.00 Pm.upf
Sm 150.36 Sm.upf
ATOMIC_POSITIONS crystal
Ac 0.084 0.418 0.754
Ac 0.249 0.249 0.246
Ac 0.418 0.084 0.754
Ac 0.582 0.916 0.246
Ac 0.751 0.751 0.754
Ac 0.916 0.582 0.246
La 0.000 0.000 0.500
La 0.333 0.667 0.500
La 0.667 0.333 0.500
Pm 0.500 0.500 0.000
Sm 0.167 0.833 0.000
Sm 0.833 0.167 0.000
CELL_PARAMETERS angstrom
3.348 -5.807 0.000
3.348 5.807 0.000
-2.240 0.000 12.350
```

* crystal system: monoclinic
* DFT formation energy: 0.0270 eV per atom

=====

Asked for energy across the records above, the calculation gives -19.03; -27.90; -27.64; -55.79; -23.01; -53.30 eV/f.u. in order.
Asked for spin magnetization across the records above, the calculation gives 0.0; 0.0; 0.0; 0.0; 0.0; 0.0 μB/f.u. in order.